## InGa2Ag2 (PBE-GGA)

Data for a relaxed structure of InGa2Ag2.

Structure (CIF):
```
data_InGa2Ag2
_symmetry_space_group_name_H-M 'P 1'
_symmetry_Int_Tables_number 1
_cell_length_a 7.246
_cell_length_b 7.246
_cell_length_c 7.246
_cell_angle_alpha 148.75
_cell_angle_beta 148.75
_cell_angle_gamma 44.78
loop_
_symmetry_equiv_pos_as_xyz
'x,y,z'
loop_
_atom_site_label
_atom_site_type_symbol
_atom_site_fract_x
_atom_site_fract_y
_atom_site_fract_z
In1 In 0.000 0.000 0.000
Ga1 Ga 0.250 0.750 0.500
Ga2 Ga 0.750 0.250 0.500
Ag1 Ag 0.396 0.396 0.000
Ag2 Ag 0.604 0.604 0.000
```

## Properties
ρ (g/cm³): 7.6
ΔH_f (0 K) (eV per atom): 0.0499
E above lowest polymorph (eV per formula unit): 0.07
Final energy (eV per atom): -2.849
SG: No. 139

## Bi (PBE-GGA)

Data for a relaxed structure of Bi.

Structure (CIF):
```
data_Bi
_symmetry_space_group_name_H-M 'P 1'
_symmetry_Int_Tables_number 1
_cell_length_a 5.446
_cell_length_b 5.446
_cell_length_c 3.389
_cell_angle_alpha 90.00
_cell_angle_beta 90.00
_cell_angle_gamma 120.00
loop_
_symmetry_equiv_pos_as_xyz
'x,y,z'
loop_
_atom_site_label
_atom_site_type_symbol
_atom_site_fract_x
_atom_site_fract_y
_atom_site_fract_z
Bi1 Bi 0.333 0.667 0.000
Bi2 Bi 0.667 0.333 0.000
```

## Properties
ρ (g/cm³): 8.0
ΔH_f (0 K) (eV per atom): 0.1248
E above lowest polymorph (eV per formula unit): 0.12
Final energy (eV per atom): -3.756
SG: No. 191

## MgTc2W (PBE-GGA)

Data for a relaxed structure of MgTc2W.

Structure (CIF):
```
data_MgTc2W
_symmetry_space_group_name_H-M 'P 1'
_symmetry_Int_Tables_number 1
_cell_length_a 3.147
_cell_length_b 3.147
_cell_length_c 6.374
_cell_angle_alpha 90.00
_cell_angle_beta 90.00
_cell_angle_gamma 90.00
loop_
_symmetry_equiv_pos_as_xyz
'x,y,z'
loop_
_atom_site_label
_atom_site_type_symbol
_atom_site_fract_x
_atom_site_fract_y
_atom_site_fract_z
Mg1 Mg 0.000 0.000 0.000
Tc1 Tc 0.500 0.500 0.268
Tc2 Tc 0.500 0.500 0.732
W1 W 0.000 0.000 0.500
```

## Properties
ρ (g/cm³): 10.6
ΔH_f (0 K) (eV per atom): 0.1162
Final energy (eV per atom): -8.704
SG: No. 123

## NdSmSe3 (PBE-GGA)

Data for a relaxed structure of NdSmSe3.

Structure (CIF):
```
data_NdSmSe3
_symmetry_space_group_name_H-M 'P 1'
_symmetry_Int_Tables_number 1
_cell_length_a 11.472
_cell_length_b 4.173
_cell_length_c 11.109
_cell_angle_alpha 90.00
_cell_angle_beta 90.00
_cell_angle_gamma 90.00
loop_
_symmetry_equiv_pos_as_xyz
'x,y,z'
loop_
_atom_site_label
_atom_site_type_symbol
_atom_site_fract_x
_atom_site_fract_y
_atom_site_fract_z
Nd1 Nd 0.195 0.250 0.002
Nd2 Nd 0.305 0.750 0.502
Nd3 Nd 0.695 0.250 0.498
Nd4 Nd 0.805 0.750 0.998
Sm1 Sm 0.011 0.250 0.687
Sm2 Sm 0.489 0.750 0.187
Sm3 Sm 0.511 0.250 0.813
Sm4 Sm 0.989 0.750 0.313
Se1 Se 0.044 0.750 0.873
Se2 Se 0.118 0.250 0.444
Se3 Se 0.230 0.750 0.201
Se4 Se 0.270 0.250 0.701
Se5 Se 0.382 0.750 0.944
Se6 Se 0.456 0.250 0.373
Se7 Se 0.544 0.750 0.627
Se8 Se 0.618 0.250 0.056
Se9 Se 0.730 0.750 0.299
Se10 Se 0.770 0.250 0.799
Se11 Se 0.882 0.750 0.556
Se12 Se 0.956 0.250 0.127
```

## Properties
ρ (g/cm³): 6.6
E above lowest polymorph (eV per formula unit): 0.00
Formation energy from raw total energies (meV per atom): -1904.7
Final energy (eV per atom): -5.893
SG: No. 62

## SrSmHSe2 (PBE-GGA)

Data for a relaxed structure of SrSmHSe2.

Structure (CIF):
```
data_SrSmHSe2
_symmetry_space_group_name_H-M 'P 1'
_symmetry_Int_Tables_number 1
_cell_length_a 4.174
_cell_length_b 4.174
_cell_length_c 14.354
_cell_angle_alpha 90.00
_cell_angle_beta 90.00
_cell_angle_gamma 90.00
loop_
_symmetry_equiv_pos_as_xyz
'x,y,z'
loop_
_atom_site_label
_atom_site_type_symbol
_atom_site_fract_x
_atom_site_fract_y
_atom_site_fract_z
Sr1 Sr 0.250 0.250 0.095
Sr2 Sr 0.750 0.750 0.905
Sm1 Sm 0.250 0.250 0.627
Sm2 Sm 0.750 0.750 0.373
H1 H 0.250 0.750 0.000
H2 H 0.750 0.250 0.000
Se1 Se 0.250 0.250 0.406
Se2 Se 0.250 0.250 0.813
Se3 Se 0.750 0.750 0.187
Se4 Se 0.750 0.750 0.594
```

## Properties
ρ (g/cm³): 5.3
Final energy (eV per atom): -4.827
SG: No. 129

## LiAcSnGe (PBE-GGA)

Data for a relaxed structure of LiAcSnGe.

Structure (CIF):
```
data_LiAcSnGe
_symmetry_space_group_name_H-M 'P 1'
_symmetry_Int_Tables_number 1
_cell_length_a 5.254
_cell_length_b 5.254
_cell_length_c 5.254
_cell_angle_alpha 60.00
_cell_angle_beta 60.00
_cell_angle_gamma 60.00
loop_
_symmetry_equiv_pos_as_xyz
'x,y,z'
loop_
_atom_site_label
_atom_site_type_symbol
_atom_site_fract_x
_atom_site_fract_y
_atom_site_fract_z
Li1 Li 0.000 0.000 0.000
Ac1 Ac 0.750 0.750 0.750
Sn1 Sn 0.250 0.250 0.250
Ge1 Ge 0.500 0.500 0.500
```

## Properties
ρ (g/cm³): 6.9
ΔH_f (0 K) (eV per atom): -0.2888
Final energy (eV per atom): -3.949
SG: No. 216

## Ac2YAl (PBE-GGA)

Data for a relaxed structure of Ac2YAl.

Structure (CIF):
```
data_Ac2YAl
_symmetry_space_group_name_H-M 'P 1'
_symmetry_Int_Tables_number 1
_cell_length_a 5.770
_cell_length_b 5.770
_cell_length_c 5.770
_cell_angle_alpha 60.00
_cell_angle_beta 60.00
_cell_angle_gamma 60.00
loop_
_symmetry_equiv_pos_as_xyz
'x,y,z'
loop_
_atom_site_label
_atom_site_type_symbol
_atom_site_fract_x
_atom_site_fract_y
_atom_site_fract_z
Ac1 Ac 0.250 0.250 0.250
Ac2 Ac 0.750 0.750 0.750
Y1 Y 0.000 0.000 0.000
Al1 Al 0.500 0.500 0.500
```

## Properties
ρ (g/cm³): 7.0
ΔH_f (0 K) (eV per atom): 0.0367
E above lowest polymorph (eV per formula unit): 0.37
Final energy (eV per atom): -4.569
SG: No. 225

## CePm6YTm2 (PBE-GGA)

Data for a relaxed structure of CePm6YTm2.

Structure (CIF):
```
data_CePm6YTm2
_symmetry_space_group_name_H-M 'P 1'
_symmetry_Int_Tables_number 1
_cell_length_a 6.625
_cell_length_b 6.625
_cell_length_c 8.824
_cell_angle_alpha 101.13
_cell_angle_beta 101.13
_cell_angle_gamma 64.07
loop_
_symmetry_equiv_pos_as_xyz
'x,y,z'
loop_
_atom_site_label
_atom_site_type_symbol
_atom_site_fract_x
_atom_site_fract_y
_atom_site_fract_z
Ce1 Ce 0.000 0.000 0.000
Pm1 Pm 0.095 0.560 0.201
Pm2 Pm 0.127 0.127 0.419
Pm3 Pm 0.440 0.905 0.799
Pm4 Pm 0.560 0.095 0.201
Pm5 Pm 0.873 0.873 0.581
Pm6 Pm 0.905 0.440 0.799
Y1 Y 0.500 0.500 0.500
Tm1 Tm 0.410 0.410 0.837
Tm2 Tm 0.590 0.590 0.163
```

## Properties
ρ (g/cm³): 7.0
ΔH_f (0 K) (eV per atom): 0.2439
Final energy (eV per atom): -4.741
SG: No. 12

## Ca2ZrGa (PBE-GGA)

Data for a relaxed structure of Ca2ZrGa.

Structure (CIF):
```
data_Ca2ZrGa
_symmetry_space_group_name_H-M 'P 1'
_symmetry_Int_Tables_number 1
_cell_length_a 6.784
_cell_length_b 6.784
_cell_length_c 6.784
_cell_angle_alpha 101.67
_cell_angle_beta 101.67
_cell_angle_gamma 126.54
loop_
_symmetry_equiv_pos_as_xyz
'x,y,z'
loop_
_atom_site_label
_atom_site_type_symbol
_atom_site_fract_x
_atom_site_fract_y
_atom_site_fract_z
Ca1 Ca 0.085 0.625 0.960
Ca2 Ca 0.375 0.335 0.460
Ca3 Ca 0.665 0.125 0.040
Ca4 Ca 0.875 0.915 0.540
Zr1 Zr 0.250 0.750 0.500
Zr2 Zr 0.500 0.500 0.000
Ga1 Ga 0.000 0.000 0.000
Ga2 Ga 0.750 0.250 0.500
```

## Properties
ρ (g/cm³): 3.6
ΔH_f (0 K) (eV per atom): 0.3151
Final energy (eV per atom): -3.579
SG: No. 122

## SrTh4Pt5 (PBE-GGA)

Data for a relaxed structure of SrTh4Pt5.

Structure (CIF):
```
data_SrTh4Pt5
_symmetry_space_group_name_H-M 'P 1'
_symmetry_Int_Tables_number 1
_cell_length_a 7.334
_cell_length_b 7.334
_cell_length_c 10.434
_cell_angle_alpha 118.47
_cell_angle_beta 118.47
_cell_angle_gamma 33.20
loop_
_symmetry_equiv_pos_as_xyz
'x,y,z'
loop_
_atom_site_label
_atom_site_type_symbol
_atom_site_fract_x
_atom_site_fract_y
_atom_site_fract_z
Sr1 Sr 0.000 0.000 0.000
Th1 Th 0.202 0.202 0.798
Th2 Th 0.403 0.403 0.601
Th3 Th 0.597 0.597 0.399
Th4 Th 0.798 0.798 0.202
Pt1 Pt 0.000 0.000 0.500
Pt2 Pt 0.205 0.205 0.313
Pt3 Pt 0.391 0.391 0.109
Pt4 Pt 0.609 0.609 0.891
Pt5 Pt 0.795 0.795 0.687
```

## Properties
ρ (g/cm³): 12.4
ΔH_f (0 K) (eV per atom): -1.1453
Final energy (eV per atom): -7.302
SG: No. 12

## Fe2TcBiTe (PBE-GGA)

Data for a relaxed structure of Fe2TcBiTe.

Structure (CIF):
```
data_Fe2TcBiTe
_symmetry_space_group_name_H-M 'P 1'
_symmetry_Int_Tables_number 1
_cell_length_a 4.885
_cell_length_b 4.885
_cell_length_c 5.156
_cell_angle_alpha 90.00
_cell_angle_beta 90.00
_cell_angle_gamma 90.00
loop_
_symmetry_equiv_pos_as_xyz
'x,y,z'
loop_
_atom_site_label
_atom_site_type_symbol
_atom_site_fract_x
_atom_site_fract_y
_atom_site_fract_z
Fe1 Fe 0.000 0.500 0.000
Fe2 Fe 0.500 0.000 0.000
Tc1 Tc 0.000 0.000 0.500
Bi1 Bi 0.000 0.000 0.000
Te1 Te 0.500 0.500 0.500
```

## Properties
ρ (g/cm³): 7.4
Formation energy from raw total energies (meV per atom): 1640.6
Final energy (eV per atom): -5.222
SG: No. 123

## Al2RhSe (PBE-GGA)

Data for a relaxed structure of Al2RhSe.

Structure (CIF):
```
data_Al2RhSe
_symmetry_space_group_name_H-M 'P 1'
_symmetry_Int_Tables_number 1
_cell_length_a 3.429
_cell_length_b 3.429
_cell_length_c 6.212
_cell_angle_alpha 90.00
_cell_angle_beta 90.00
_cell_angle_gamma 90.00
loop_
_symmetry_equiv_pos_as_xyz
'x,y,z'
loop_
_atom_site_label
_atom_site_type_symbol
_atom_site_fract_x
_atom_site_fract_y
_atom_site_fract_z
Al1 Al 0.000 0.000 0.000
Al2 Al 0.500 0.500 0.292
Rh1 Rh 0.000 0.000 0.384
Se1 Se 0.500 0.500 0.836
```

## Properties
ρ (g/cm³): 5.4
Formation energy from raw total energies (meV per atom): -474.1
Final energy (eV per atom): -5.054
SG: No. 99

## TbTl2PbSe4 (PBE-GGA)

Data for a relaxed structure of TbTl2PbSe4.

Structure (CIF):
```
data_TbTl2PbSe4
_symmetry_space_group_name_H-M 'P 1'
_symmetry_Int_Tables_number 1
_cell_length_a 7.595
_cell_length_b 4.254
_cell_length_c 7.782
_cell_angle_alpha 90.00
_cell_angle_beta 109.00
_cell_angle_gamma 90.00
loop_
_symmetry_equiv_pos_as_xyz
'x,y,z'
loop_
_atom_site_label
_atom_site_type_symbol
_atom_site_fract_x
_atom_site_fract_y
_atom_site_fract_z
Tb1 Tb 0.000 0.000 0.000
Tl1 Tl 0.000 0.500 0.500
Tl2 Tl 0.500 0.000 0.500
Pb1 Pb 0.500 0.500 0.000
Se1 Se 0.224 0.500 0.216
Se2 Se 0.237 0.000 0.771
Se3 Se 0.763 0.000 0.229
Se4 Se 0.776 0.500 0.784
```

## Properties
ρ (g/cm³): 7.6
Formation energy from raw total energies (meV per atom): -873.9
Final energy (eV per atom): -4.250
SG: No. 10

## DyTmHgPb (PBE-GGA)

Data for a relaxed structure of DyTmHgPb.

Structure (CIF):
```
data_DyTmHgPb
_symmetry_space_group_name_H-M 'P 1'
_symmetry_Int_Tables_number 1
_cell_length_a 5.311
_cell_length_b 5.311
_cell_length_c 5.311
_cell_angle_alpha 60.00
_cell_angle_beta 60.00
_cell_angle_gamma 60.00
loop_
_symmetry_equiv_pos_as_xyz
'x,y,z'
loop_
_atom_site_label
_atom_site_type_symbol
_atom_site_fract_x
_atom_site_fract_y
_atom_site_fract_z
Dy1 Dy 0.000 0.000 0.000
Tm1 Tm 0.500 0.500 0.500
Hg1 Hg 0.750 0.750 0.750
Pb1 Pb 0.250 0.250 0.250
```

## Properties
ρ (g/cm³): 11.6
ΔH_f (0 K) (eV per atom): -0.4252
E above lowest polymorph (eV per formula unit): 0.04
Final energy (eV per atom): -3.696
SG: No. 216

## Pm2YTh (PBE-GGA)

Data for a relaxed structure of Pm2YTh.

Structure (CIF):
```
data_Pm2YTh
_symmetry_space_group_name_H-M 'P 1'
_symmetry_Int_Tables_number 1
_cell_length_a 5.743
_cell_length_b 5.743
_cell_length_c 5.743
_cell_angle_alpha 60.00
_cell_angle_beta 60.00
_cell_angle_gamma 60.00
loop_
_symmetry_equiv_pos_as_xyz
'x,y,z'
loop_
_atom_site_label
_atom_site_type_symbol
_atom_site_fract_x
_atom_site_fract_y
_atom_site_fract_z
Pm1 Pm 0.250 0.250 0.250
Pm2 Pm 0.750 0.750 0.750
Y1 Y 0.000 0.000 0.000
Th1 Th 0.500 0.500 0.500
```

## Properties
ρ (g/cm³): 7.6
ΔH_f (0 K) (eV per atom): 0.1999
E above lowest polymorph (eV per formula unit): 0.71
Final energy (eV per atom): -5.646
SG: No. 225

## GdPaHgPd (PBE-GGA)

Data for a relaxed structure of GdPaHgPd.

Structure (CIF):
```
data_GdPaHgPd
_symmetry_space_group_name_H-M 'P 1'
_symmetry_Int_Tables_number 1
_cell_length_a 5.143
_cell_length_b 5.143
_cell_length_c 5.143
_cell_angle_alpha 60.00
_cell_angle_beta 60.00
_cell_angle_gamma 60.00
loop_
_symmetry_equiv_pos_as_xyz
'x,y,z'
loop_
_atom_site_label
_atom_site_type_symbol
_atom_site_fract_x
_atom_site_fract_y
_atom_site_fract_z
Gd1 Gd 0.000 0.000 0.000
Pa1 Pa 0.500 0.500 0.500
Hg1 Hg 0.750 0.750 0.750
Pd1 Pd 0.250 0.250 0.250
```

## Properties
ρ (g/cm³): 12.0
ΔH_f (0 K) (eV per atom): -0.2371
Final energy (eV per atom): -7.505
SG: No. 216

## Be5CuAu4 (PBE-GGA)

Data for a relaxed structure of Be5CuAu4.

Structure (CIF):
```
data_Be5CuAu4
_symmetry_space_group_name_H-M 'P 1'
_symmetry_Int_Tables_number 1
_cell_length_a 2.947
_cell_length_b 2.947
_cell_length_c 14.345
_cell_angle_alpha 90.00
_cell_angle_beta 90.00
_cell_angle_gamma 90.00
loop_
_symmetry_equiv_pos_as_xyz
'x,y,z'
loop_
_atom_site_label
_atom_site_type_symbol
_atom_site_fract_x
_atom_site_fract_y
_atom_site_fract_z
Be1 Be 0.000 0.000 0.000
Be2 Be 0.000 0.000 0.206
Be3 Be 0.000 0.000 0.414
Be4 Be 0.000 0.000 0.586
Be5 Be 0.000 0.000 0.794
Cu1 Cu 0.500 0.500 0.500
Au1 Au 0.500 0.500 0.104
Au2 Au 0.500 0.500 0.311
Au3 Au 0.500 0.500 0.689
Au4 Au 0.500 0.500 0.896
```

## Properties
ρ (g/cm³): 11.9
ΔH_f (0 K) (eV per atom): -0.1093
Final energy (eV per atom): -3.693
SG: No. 123

## Hf2ZrFe2 (PBE-GGA)

Data for a relaxed structure of Hf2ZrFe2.

Structure (CIF):
```
data_Hf2ZrFe2
_symmetry_space_group_name_H-M 'P 1'
_symmetry_Int_Tables_number 1
_cell_length_a 7.673
_cell_length_b 7.673
_cell_length_c 2.921
_cell_angle_alpha 90.00
_cell_angle_beta 90.00
_cell_angle_gamma 90.00
loop_
_symmetry_equiv_pos_as_xyz
'x,y,z'
loop_
_atom_site_label
_atom_site_type_symbol
_atom_site_fract_x
_atom_site_fract_y
_atom_site_fract_z
Hf1 Hf 0.142 0.358 0.000
Hf2 Hf 0.358 0.858 0.000
Hf3 Hf 0.642 0.142 0.000
Hf4 Hf 0.858 0.642 0.000
Zr1 Zr 0.000 0.000 0.000
Zr2 Zr 0.500 0.500 0.000
Fe1 Fe 0.157 0.657 0.500
Fe2 Fe 0.343 0.157 0.500
Fe3 Fe 0.657 0.843 0.500
Fe4 Fe 0.843 0.343 0.500
```

## Properties
ρ (g/cm³): 10.8
ΔH_f (0 K) (eV per atom): 0.1023
E above lowest polymorph (eV per formula unit): 0.95
Final energy (eV per atom): -8.974
SG: No. 127

## Cs3Np2Se4 (PBE-GGA)

Data for a relaxed structure of Cs3Np2Se4.

Structure (CIF):
```
data_Cs3Np2Se4
_symmetry_space_group_name_H-M 'P 1'
_symmetry_Int_Tables_number 1
_cell_length_a 10.041
_cell_length_b 10.041
_cell_length_c 9.380
_cell_angle_alpha 115.47
_cell_angle_beta 115.47
_cell_angle_gamma 26.31
loop_
_symmetry_equiv_pos_as_xyz
'x,y,z'
loop_
_atom_site_label
_atom_site_type_symbol
_atom_site_fract_x
_atom_site_fract_y
_atom_site_fract_z
Cs1 Cs 0.000 0.000 0.000
Cs2 Cs 0.113 0.113 0.519
Cs3 Cs 0.887 0.887 0.481
Np1 Np 0.308 0.308 0.017
Np2 Np 0.692 0.692 0.983
Se1 Se 0.214 0.214 0.191
Se2 Se 0.453 0.453 0.246
Se3 Se 0.547 0.547 0.754
Se4 Se 0.786 0.786 0.809
```

## Properties
ρ (g/cm³): 5.2
Formation energy from raw total energies (meV per atom): -973.8
Final energy (eV per atom): -5.683
SG: No. 12

## La4PIrO2 (PBE-GGA)

Data for a relaxed structure of La4PIrO2.

Structure (CIF):
```
data_La4PIrO2
_symmetry_space_group_name_H-M 'P 1'
_symmetry_Int_Tables_number 1
_cell_length_a 6.756
_cell_length_b 3.974
_cell_length_c 6.944
_cell_angle_alpha 90.00
_cell_angle_beta 108.77
_cell_angle_gamma 90.00
loop_
_symmetry_equiv_pos_as_xyz
'x,y,z'
loop_
_atom_site_label
_atom_site_type_symbol
_atom_site_fract_x
_atom_site_fract_y
_atom_site_fract_z
La1 La 0.221 0.000 0.245
La2 La 0.227 0.500 0.739
La3 La 0.773 0.500 0.261
La4 La 0.779 0.000 0.755
P1 P 0.500 0.000 0.000
Ir1 Ir 0.500 0.500 0.500
O1 O 0.000 0.000 0.500
O2 O 0.000 0.500 0.000
```

## Properties
ρ (g/cm³): 7.6
Formation energy from raw total energies (meV per atom): -1858.6
Final energy (eV per atom): -7.346
SG: No. 10